Record 1
A plane-wave DFT calculation with PBE-GGA was carried out for an optimized crystal structure of ZnCd.

For the calculated formation energy, the calculation gives 0.068 eV per atom. The calculated density comes out at 7.7 g/cm3. Its crystal system is monoclinic.

abc: 3.0109 5.0599 5.0600
angles: 81.84 90.05 90.05
Last column: nearest neighbours and their distance in Å.
Atoms (fractional coordinates):
Zn 0.0000 0.6989 0.7992  1 Zn 2.65, 4 Cd 2.96
Zn 0.0000 0.3011 0.2008  1 Zn 2.65, 4 Cd 2.96
Cd 0.5003 0.2082 0.7101  8 Zn 2.96-3.00, 3 Cd 3.01-3.20
Cd 0.4997 0.7918 0.2899  8 Zn 2.96-3.00, 3 Cd 3.01-3.20

Record 2
A plane-wave DFT calculation with PBE-GGA was carried out for an optimized crystal structure of HfZrSN2.

For the uncorrected formation energy, the calculation gives -0.313 eV per atom. The calculated density comes out at 6.7 g/cm3. Its crystal system is tetragonal.

abc: 4.0953 4.0953 4.8966
angles: 90.00 90.00 90.00
Last column: nearest neighbours and their distance in Å.
Atoms (fractional coordinates):
Hf 0.0000 0.0000 0.0000  4 N 2.05
N 0.5000 0.0000 0.0000  2 Hf 2.05
N 0.0000 0.5000 0.0000  2 Hf 2.05
Zr 0.5000 0.5000 0.5000  4 S 2.90, 8 N 3.19
S 0.0000 0.0000 0.5000  2 Hf 2.45

Record 3
A plane-wave DFT calculation with PBE-GGA was carried out for an optimized crystal structure of KRb2As2Se6.

For the uncorrected formation energy, the calculation gives -0.500 eV per atom. The calculated density comes out at 3.0 g/cm3. Its crystal system is monoclinic.

abc: 7.4523 7.4501 10.4716
angles: 110.84 90.00 120.01
Last column: nearest neighbours and their distance in Å.
Atoms (fractional coordinates):
As 0.0814 0.1629 0.2454  3 Se 2.30
As 0.9186 0.8371 0.7546  3 Se 2.30
Se 0.7526 0.0357 0.7868  1 As 2.30
Se 0.2831 0.0357 0.7868  1 As 2.30
Se 0.7521 0.5042 0.7864  1 As 2.30
Se 0.7169 0.9643 0.2132  1 As 2.30
Se 0.2479 0.4958 0.2136  1 As 2.30
Se 0.2474 0.9643 0.2132  1 As 2.30
K 0.5000 0.0000 0.5000  6 Se 3.40
Rb 0.7125 0.4251 0.1393  9 Se 3.79-3.93
Rb 0.2875 0.5749 0.8607  9 Se 3.79-3.93

Across the entries above, raw total energy takes the values -4.1, -40.8, -38.7 eV per cell, respectively.